# 1
KBe2Hg: optimized geometry, PBE-GGA.

**ΔE_f**: 217 meV/atom
**DFT total energy**: -0.14669 Ry/atom
**D(E_F)**: 0.499 states/eV per atom

Structure (POSCAR):
```
KBe2Hg
1.0
7.2351 0.0000 0.0000
0.0000 4.1772 0.0000
-2.5059 0.0000 6.2105
K Be Hg
2 4 2
Cartesian
0.0000 0.0000 0.0000 K
3.6175 2.0886 0.0000 K
-1.2226 2.0886 3.0375 Be
-0.0176 0.0000 3.1425 Be
2.3950 0.0000 3.0375 Be
3.5999 2.0886 3.1425 Be
1.1898 2.0886 2.9059 Hg
4.8073 0.0000 2.9059 Hg
```



# 2
NdGd2Dy: optimized geometry, PBE-GGA.

**ΔE_f**: 25 meV/atom
**DFT total energy**: -0.68781 Ry/atom
**D(E_F)**: 1.829 states/eV per atom

Structure (POSCAR):
```
NdGd2Dy
1.0
3.5983 0.0000 0.0000
0.0000 3.5983 0.0000
0.0000 0.0000 10.1604
Nd Gd Dy
1 2 1
Cartesian
0.0000 0.0000 0.0000 Nd
1.7991 1.7991 2.5854 Gd
1.7991 1.7991 7.5750 Gd
0.0000 0.0000 5.0802 Dy
```



# 3
KNiAg: optimized geometry, PBE-GGA.

**ΔE_f**: 1267 meV/atom
**DFT total energy**: -0.14529 Ry/atom
**D(E_F)**: 4.153 states/eV per atom

Structure (POSCAR):
```
KNiAg
1.0
7.1151 0.0000 0.0000
0.0000 7.1151 0.0000
0.0000 0.0000 7.1151
K Ni Ag
4 4 4
Cartesian
0.0000 0.0000 0.0000 K
0.0000 3.5575 3.5575 K
3.5575 0.0000 3.5575 K
3.5575 3.5575 0.0000 K
1.7788 1.7788 1.7788 Ni
1.7788 5.3363 5.3363 Ni
5.3363 1.7788 5.3363 Ni
5.3363 5.3363 1.7788 Ni
1.7788 1.7788 5.3363 Ag
1.7788 5.3363 1.7788 Ag
5.3363 1.7788 1.7788 Ag
5.3363 5.3363 5.3363 Ag
```



# 4
TiAs: optimized geometry, PBE-GGA.

**ΔE_f**: -407 meV/atom
**DFT total energy**: -0.49094 Ry/atom
**D(E_F)**: 0.718 states/eV per atom

Structure (POSCAR):
```
TiAs
1.0
3.7347 0.0000 0.0000
0.0000 11.9263 0.0000
0.0000 0.0000 5.8712
Ti As
6 6
Cartesian
0.9337 1.4066 0.0164 Ti
0.9337 4.5566 0.0164 Ti
0.9337 8.9447 3.6938 Ti
2.8010 2.9816 2.1774 Ti
2.8010 7.3697 5.8548 Ti
2.8010 10.5197 5.8548 Ti
0.9337 2.9816 3.9093 As
0.9337 6.5487 4.3712 As
0.9337 11.3407 4.3712 As
2.8010 0.5856 1.5000 As
2.8010 5.3776 1.5000 As
2.8010 8.9447 1.9619 As
```



# 5
ReNiMo2: optimized geometry, PBE-GGA.

**ΔE_f**: 167 meV/atom
**DFT total energy**: -0.72073 Ry/atom
**D(E_F)**: 0.794 states/eV per atom

Structure (POSCAR):
```
ReNiMo2
1.0
2.5901 0.0000 0.0000
0.0000 4.0858 0.0000
0.0000 0.0000 5.5561
Re Ni Mo
1 1 2
Cartesian
0.0000 0.0000 0.0000 Re
1.2951 2.0429 4.2875 Ni
0.0000 0.0000 2.9785 Mo
1.2951 2.0429 1.4438 Mo
```



# 6
Nd6In2C: optimized geometry, PBE-GGA.

**ΔE_f**: -317 meV/atom
**DFT total energy**: -0.37696 Ry/atom
**D(E_F)**: 0.791 states/eV per atom

Structure (POSCAR):
```
Nd6In2C
1.0
0.0000 5.0764 5.0764
5.0764 0.0000 5.0764
5.0764 5.0764 0.0000
Nd In C
6 2 1
Cartesian
5.0764 5.0764 2.4854 Nd
5.0764 2.4854 5.0764 Nd
7.6674 5.0764 5.0764 Nd
2.4854 5.0764 5.0764 Nd
5.0764 7.6674 5.0764 Nd
5.0764 5.0764 7.6674 Nd
2.5382 2.5382 2.5382 In
7.6146 7.6146 7.6146 In
0.0000 0.0000 0.0000 C
```



# 7
Mn2CrNi: optimized geometry, PBE-GGA.

**ΔE_f**: 99 meV/atom
**DFT total energy**: -0.61277 Ry/atom
**D(E_F)**: 0.641 states/eV per atom

Structure (POSCAR):
```
Mn2CrNi
1.0
2.4779 0.0000 0.0000
-1.2389 2.1459 0.0000
0.0000 0.0000 24.8010
Mn Cr Ni
6 3 3
Cartesian
0.0000 0.0000 0.0000 Mn
0.0000 0.0000 6.3259 Mn
0.0000 1.4306 16.5340 Mn
0.0000 1.4306 22.8598 Mn
1.2389 0.7153 8.2670 Mn
1.2389 0.7153 14.5929 Mn
0.0000 0.0000 18.6679 Cr
0.0000 1.4306 10.4010 Cr
1.2389 0.7153 2.1340 Cr
0.0000 0.0000 12.4919 Ni
0.0000 1.4306 4.2249 Ni
1.2389 0.7153 20.7589 Ni
```



# 8
Ac6LaDy: optimized geometry, PBE-GGA.

**ΔE_f**: 28 meV/atom
**DFT total energy**: -0.31196 Ry/atom
**D(E_F)**: 1.751 states/eV per atom

Structure (POSCAR):
```
Ac6LaDy
1.0
5.5203 0.0000 0.0000
0.0000 5.5203 0.0000
0.0000 0.0000 11.0688
Ac La Dy
6 1 1
Cartesian
0.0000 0.0000 0.0000 Ac
0.0000 0.0000 5.5344 Ac
0.0000 2.7601 2.7342 Ac
0.0000 2.7601 8.3346 Ac
2.7601 0.0000 2.7342 Ac
2.7601 0.0000 8.3346 Ac
2.7601 2.7601 5.5344 La
2.7601 2.7601 0.0000 Dy
```



# 9
TbPr2Nd6: optimized geometry, PBE-GGA.

**ΔE_f**: 51 meV/atom
**DFT total energy**: -0.34577 Ry/atom
**D(E_F)**: 1.368 states/eV per atom

Structure (POSCAR):
```
TbPr2Nd6
1.0
5.0177 -8.7315 0.0000
5.0177 8.7315 0.0000
0.0000 0.0000 3.5844
Tb Pr Nd
1 2 6
Cartesian
0.0000 0.0000 0.0000 Tb
5.0177 2.9127 0.0000 Pr
5.0177 -2.9127 0.0000 Pr
1.6693 2.8898 1.7922 Nd
3.3197 0.0000 1.7922 Nd
1.6693 -2.8898 1.7922 Nd
8.3660 2.8898 1.7922 Nd
6.7157 0.0000 1.7922 Nd
8.3660 -2.8898 1.7922 Nd
```



# 10
Tl6ICl5: optimized geometry, PBE-GGA.

**DFT total energy**: -0.22266 Ry/atom
**D(E_F)**: 0.000 states/eV per atom

Structure (POSCAR):
```
Tl6ICl5
1.0
4.0440 -7.0249 0.0000
4.0440 7.0249 0.0000
-2.7376 0.0000 7.6147
Tl I Cl
6 1 5
Cartesian
-0.1152 2.4687 5.6542 Tl
1.2002 0.0000 1.9842 Tl
-0.1152 -2.4687 5.6542 Tl
5.4655 2.4687 1.9605 Tl
4.1501 0.0000 5.6305 Tl
5.4655 -2.4687 1.9605 Tl
4.0440 0.0000 0.0000 I
-1.3688 0.0000 3.8073 Cl
4.0440 4.6175 0.0000 Cl
2.6752 2.2228 3.8073 Cl
2.6752 -2.2228 3.8073 Cl
4.0440 -4.6175 0.0000 Cl
```



# 11
Te2IrAu: optimized geometry, PBE-GGA.

**DFT total energy**: -0.29651 Ry/atom
**D(E_F)**: 0.564 states/eV per atom

Structure (POSCAR):
```
Te2IrAu
1.0
4.2067 0.0000 0.0000
0.0000 4.2067 0.0000
0.0000 0.0000 9.5037
Te Ir Au
4 2 2
Cartesian
0.0000 0.0000 0.0000 Te
0.0000 2.1034 2.3759 Te
2.1034 0.0000 7.1278 Te
2.1034 2.1034 4.7518 Te
0.0000 0.0000 4.7518 Ir
2.1034 2.1034 0.0000 Ir
0.0000 2.1034 7.1278 Au
2.1034 0.0000 2.3759 Au
```



# 12
ScTc2Hg: optimized geometry, PBE-GGA.

**ΔE_f**: 233 meV/atom
**DFT total energy**: -0.48570 Ry/atom
**D(E_F)**: 1.046 states/eV per atom

Structure (POSCAR):
```
ScTc2Hg
1.0
2.9720 0.0000 0.0000
0.0000 4.7462 0.0000
-0.3526 0.0000 5.1005
Sc Tc Hg
1 2 1
Cartesian
0.0000 0.0000 0.0000 Sc
0.6716 2.3731 4.0109 Tc
1.9478 2.3731 1.0897 Tc
1.3097 0.0000 2.5503 Hg
```



# 13
ZrPt2Rh: optimized geometry, PBE-GGA.

**ΔE_f**: -625 meV/atom
**DFT total energy**: -0.56008 Ry/atom
**D(E_F)**: 1.250 states/eV per atom

Structure (POSCAR):
```
ZrPt2Rh
1.0
6.4440 0.0000 0.0000
0.0000 6.4440 0.0000
0.0000 0.0000 6.4440
Zr Pt Rh
4 8 4
Cartesian
0.0000 0.0000 0.0000 Zr
0.0000 3.2220 3.2220 Zr
3.2220 0.0000 3.2220 Zr
3.2220 3.2220 0.0000 Zr
0.0000 0.0000 3.2220 Pt
0.0000 3.2220 0.0000 Pt
1.6110 1.6110 4.8330 Pt
1.6110 4.8330 1.6110 Pt
3.2220 0.0000 0.0000 Pt
3.2220 3.2220 3.2220 Pt
4.8330 1.6110 1.6110 Pt
4.8330 4.8330 4.8330 Pt
1.6110 1.6110 1.6110 Rh
1.6110 4.8330 4.8330 Rh
4.8330 1.6110 4.8330 Rh
4.8330 4.8330 1.6110 Rh
```



# 14
RbZrSc2H: optimized geometry, PBE-GGA.

**DFT total energy**: -0.33117 Ry/atom
**D(E_F)**: 1.357 states/eV per atom

Structure (POSCAR):
```
RbZrSc2H
1.0
4.7182 0.0000 0.0000
0.0000 4.7182 0.0000
0.0000 0.0000 5.0514
Rb Zr Sc H
1 1 2 1
Cartesian
0.0000 0.0000 0.0000 Rb
2.3591 2.3591 0.0000 Zr
0.0000 2.3591 2.5257 Sc
2.3591 0.0000 2.5257 Sc
0.0000 0.0000 2.5257 H
```



# 15
TiSnS2: optimized geometry, PBE-GGA.

**DFT total energy**: -0.38254 Ry/atom
**D(E_F)**: 0.066 states/eV per atom

Structure (POSCAR):
```
TiSnS2
1.0
3.8999 0.0000 0.0000
-1.9499 3.3774 0.0000
0.0000 0.0000 23.4920
Ti Sn S
3 3 6
Cartesian
0.0000 0.0000 0.0000 Ti
0.0000 2.2516 15.6613 Ti
1.9499 1.1258 7.8306 Ti
0.0000 0.0000 11.7460 Sn
0.0000 2.2516 3.9153 Sn
1.9499 1.1258 19.5766 Sn
0.0000 0.0000 2.2907 S
0.0000 0.0000 21.2013 S
0.0000 2.2516 13.3707 S
0.0000 2.2516 17.9520 S
1.9499 1.1258 5.5400 S
1.9499 1.1258 10.1213 S
```



# 16
Ni2IrPb2: optimized geometry, PBE-GGA.

**ΔE_f**: 422 meV/atom
**DFT total energy**: -0.37825 Ry/atom
**D(E_F)**: 1.359 states/eV per atom

Structure (POSCAR):
```
Ni2IrPb2
1.0
3.3575 0.0000 0.0000
0.0000 3.3575 0.0000
0.0000 0.0000 16.0595
Ni Ir Pb
4 2 4
Cartesian
0.0000 1.6787 4.0149 Ni
0.0000 1.6787 12.0446 Ni
1.6787 0.0000 4.0149 Ni
1.6787 0.0000 12.0446 Ni
0.0000 0.0000 0.0000 Ir
1.6787 1.6787 8.0297 Ir
0.0000 0.0000 6.2626 Pb
0.0000 0.0000 9.7969 Pb
1.6787 1.6787 1.7672 Pb
1.6787 1.6787 14.2923 Pb
```



# 17
RbAu3S: optimized geometry, PBE-GGA.

**DFT total energy**: -0.10115 Ry/atom
**D(E_F)**: 2.158 states/eV per atom

Structure (POSCAR):
```
RbAu3S
1.0
5.9793 0.0000 0.0000
0.0000 5.9793 0.0000
0.0000 0.0000 5.9793
Rb Au S
1 3 1
Cartesian
0.0000 0.0000 0.0000 Rb
0.0000 0.0000 2.9897 Au
0.0000 2.9897 0.0000 Au
2.9897 0.0000 0.0000 Au
2.9897 2.9897 2.9897 S
```



# 18
SrCa3Br: optimized geometry, PBE-GGA.

**DFT total energy**: -0.16477 Ry/atom
**D(E_F)**: 1.852 states/eV per atom

Structure (POSCAR):
```
SrCa3Br
1.0
5.9795 0.0000 0.0000
0.0000 5.9795 0.0000
0.0000 0.0000 5.9795
Sr Ca Br
1 3 1
Cartesian
0.0000 0.0000 0.0000 Sr
0.0000 2.9898 2.9898 Ca
2.9898 0.0000 2.9898 Ca
2.9898 2.9898 0.0000 Ca
2.9898 2.9898 2.9898 Br
```



# 19
Tl4Ga5: optimized geometry, PBE-GGA.

**ΔE_f**: 110 meV/atom
**DFT total energy**: -0.19284 Ry/atom
**D(E_F)**: 0.397 states/eV per atom

Structure (POSCAR):
```
Tl4Ga5
1.0
-5.4684 5.4684 1.9170
5.4684 -5.4684 1.9170
5.4684 5.4684 -1.9170
Tl Ga
4 5
Cartesian
3.4905 0.0000 0.0000 Tl
7.4462 0.0000 0.0000 Tl
0.0000 3.4905 0.0000 Tl
0.0000 7.4462 0.0000 Tl
0.0000 0.0000 0.0000 Ga
3.9280 3.9280 0.0000 Ga
1.5404 -1.5404 1.9170 Ga
-1.5404 1.5404 1.9170 Ga
1.5404 1.5404 1.9170 Ga
```



# 20
CuSb2Se4: optimized geometry, PBE-GGA.

**DFT total energy**: -0.28439 Ry/atom
**D(E_F)**: 0.544 states/eV per atom

Structure (POSCAR):
```
CuSb2Se4
1.0
4.0445 -6.6314 0.0000
4.0445 6.6314 0.0000
-3.9829 0.0000 6.8167
Cu Sb Se
2 4 8
Cartesian
2.0530 5.2510 3.4083 Cu
4.0445 -5.2510 0.0000 Cu
0.0467 4.6531 6.5337 Sb
2.1059 1.5389 3.3108 Sb
0.1144 -1.5389 6.7192 Sb
2.0381 -4.6531 3.1253 Sb
1.7594 2.9864 0.6541 Se
0.2406 3.5498 4.0711 Se
-0.1994 0.0501 2.3075 Se
-2.1909 -0.0501 5.7158 Se
-0.2321 -2.9864 4.0625 Se
2.2321 -3.5498 0.6628 Se
2.3225 0.0513 5.6608 Se
4.3140 -0.0513 2.2524 Se
```



# 21
ZnRu4Pb: optimized geometry, PBE-GGA.

**ΔE_f**: 602 meV/atom
**DFT total energy**: -0.47131 Ry/atom
**D(E_F)**: 1.310 states/eV per atom

Structure (POSCAR):
```
ZnRu4Pb
1.0
0.0000 3.6983 3.6983
3.6983 0.0000 3.6983
3.6983 3.6983 0.0000
Zn Ru Pb
1 4 1
Cartesian
0.0000 0.0000 0.0000 Zn
2.7715 2.7715 2.7715 Ru
4.6252 4.6252 2.7715 Ru
4.6252 2.7715 4.6252 Ru
2.7715 4.6252 4.6252 Ru
5.5475 5.5475 5.5475 Pb
```



# 22
TcSbP2: optimized geometry, PBE-GGA.

**DFT total energy**: -0.46617 Ry/atom
**D(E_F)**: 0.404 states/eV per atom

Structure (POSCAR):
```
TcSbP2
1.0
3.0153 0.0000 0.0000
0.0000 3.0153 0.0000
0.0000 0.0000 7.7636
Tc Sb P
1 1 2
Cartesian
0.0000 0.0000 0.0000 Tc
0.0000 0.0000 3.8818 Sb
1.5077 1.5077 1.3730 P
1.5077 1.5077 6.3907 P
```



# 23
Cu2Mo: optimized geometry, PBE-GGA.

**ΔE_f**: 261 meV/atom
**DFT total energy**: -0.44688 Ry/atom
**D(E_F)**: 0.868 states/eV per atom

Structure (POSCAR):
```
Cu2Mo
1.0
2.6594 0.0000 0.0000
-1.3297 2.3031 0.0000
0.0000 0.0000 6.6553
Cu Mo
2 1
Cartesian
0.0000 1.5354 1.0425 Cu
1.3297 0.7677 5.6129 Cu
0.0000 0.0000 3.3277 Mo
```



# 24
HfOsPt2Rh: optimized geometry, PBE-GGA.

**ΔE_f**: 1177 meV/atom
**DFT total energy**: -0.51051 Ry/atom
**D(E_F)**: 1.162 states/eV per atom

Structure (POSCAR):
```
HfOsPt2Rh
1.0
4.8106 0.0000 0.0000
0.0000 4.8106 0.0000
0.0000 0.0000 4.5196
Hf Os Pt Rh
1 1 2 1
Cartesian
0.0000 0.0000 0.0000 Hf
2.4053 2.4053 0.0000 Os
0.0000 2.4053 2.2598 Pt
2.4053 0.0000 2.2598 Pt
2.4053 2.4053 2.2598 Rh
```



# 25
Mn2TcOsW: optimized geometry, PBE-GGA.

**ΔE_f**: 1885 meV/atom
**DFT total energy**: -0.63892 Ry/atom
**D(E_F)**: 1.571 states/eV per atom

Structure (POSCAR):
```
Mn2TcOsW
1.0
4.3177 0.0000 0.0000
0.0000 4.3177 0.0000
0.0000 0.0000 4.7366
Mn Tc Os W
2 1 1 1
Cartesian
0.0000 2.1589 0.0000 Mn
2.1589 0.0000 0.0000 Mn
0.0000 0.0000 0.0000 Tc
2.1589 2.1589 2.3683 Os
0.0000 0.0000 2.3683 W
```



# 26
TiInNO2: optimized geometry, PBE-GGA.

**DFT total energy**: -0.51584 Ry/atom
**D(E_F)**: 0.255 states/eV per atom

Structure (POSCAR):
```
TiInNO2
1.0
3.8150 0.0000 0.0000
0.0000 3.8150 0.0000
0.0000 0.0000 4.3904
Ti In N O
1 1 1 2
Cartesian
0.0000 0.0000 0.0000 Ti
1.9075 1.9075 2.1952 In
0.0000 0.0000 2.1952 N
0.0000 1.9075 0.0000 O
1.9075 0.0000 0.0000 O
```



# 27
YZn5Cu2Pd: optimized geometry, PBE-GGA.

**ΔE_f**: -119 meV/atom
**DFT total energy**: -0.22290 Ry/atom
**D(E_F)**: 0.455 states/eV per atom

Structure (POSCAR):
```
YZn5Cu2Pd
1.0
4.6485 0.0000 0.0000
0.0000 4.6485 0.0000
0.0000 0.0000 7.0061
Y Zn Cu Pd
1 5 2 1
Cartesian
0.0000 0.0000 0.0000 Y
0.0000 2.3242 2.0578 Zn
0.0000 2.3242 4.9483 Zn
2.3242 0.0000 2.0578 Zn
2.3242 0.0000 4.9483 Zn
2.3242 2.3242 0.0000 Zn
2.3242 2.3242 2.3502 Cu
2.3242 2.3242 4.6558 Cu
0.0000 0.0000 3.5030 Pd
```